Density functional theory data (GGA-PBE) for a relaxed structure of ScCd2Hg3.

Results
Density of states at the Fermi level (states/eV/f.u.): 2.63
Offset from the most stable computed form (meV per atom): 0
DFT formation energy (eV per atom): -0.15

a b c (Å): 5.0008 5.0008 12.3391
angles (deg): 90.00 90.00 120.00
Positions (direct):
Cd1 0.0000 0.0000 0.0000
Sc1 0.6667 0.3333 0.3400
Hg1 0.6667 0.3333 0.5844
Hg2 0.0000 0.0000 0.7453
Cd2 0.6667 0.3333 0.8296
Sc2 0.3333 0.6667 0.6600
Hg3 0.3333 0.6667 0.9088
Hg4 0.0000 0.0000 0.2547
Hg5 0.3333 0.6667 0.4156
Cd3 0.0000 0.0000 0.5000
Hg6 0.6667 0.3333 0.0912
Cd4 0.3333 0.6667 0.1704


Density functional theory data (GGA-PBE) for a relaxed structure of K3InI6.

Results
Formation energy without anion corrections (eV per atom): -1.06
Offset from the most stable computed form (meV per atom): 3

a b c (Å): 8.5038 11.2436 11.2436
angles (deg): 101.71 90.00 90.00
Positions (direct):
I1 0.7067 0.5782 0.1160
K1 0.8506 0.5606 0.4394
K2 0.4632 0.8913 0.6993
I2 0.7485 0.1977 0.8023
I3 0.2067 0.4218 0.8840
I4 0.1411 0.7146 0.6250
I5 0.1411 0.3750 0.2854
K3 0.4632 0.3007 0.1087
I6 0.1932 0.0467 0.9533
K4 0.9632 0.6993 0.8913
In1 0.0712 0.1948 0.8052
I7 0.6411 0.6250 0.7146
I8 0.7067 0.8840 0.4218
In2 0.5712 0.8052 0.1948
I9 0.6411 0.2854 0.3750
I10 0.2067 0.1160 0.5782
I11 0.2485 0.8023 0.1977
K5 0.3506 0.4394 0.5606
K6 0.9632 0.1087 0.3007
I12 0.6932 0.9533 0.0467


Density functional theory data (GGA-PBE) for a relaxed structure of ErAl2ZnAu4.

Results
Density of states at the Fermi level (states/eV/f.u.): 3.08
DFT formation energy (eV per atom): -0.50

a b c (Å): 4.4293 4.4293 9.0477
angles (deg): 75.83 75.83 60.00
Positions (direct):
Au1 0.1313 0.1313 0.6061
Au2 0.3936 0.3936 0.8191
Al1 0.7558 0.7558 0.7326
Au3 0.8687 0.8687 0.3939
Al2 0.2442 0.2442 0.2674
Zn1 0.5000 0.5000 0.5000
Er1 0.0000 0.0000 0.0000
Au4 0.6064 0.6064 0.1809


Density functional theory data (GGA-PBE) for a relaxed structure of KMgSc2.

Results
Density of states at the Fermi level (states/eV/f.u.): 6.85
DFT formation energy (eV per atom): 0.59

a b c (Å): 5.5139 5.5139 5.5139
angles (deg): 60.00 60.00 60.00
Positions (direct):
Sc1 0.0000 0.0000 0.0000
Sc2 0.2500 0.2500 0.2500
Mg1 0.7500 0.7500 0.7500
K1 0.5000 0.5000 0.5000


Density functional theory data (GGA-PBE) for a relaxed structure of Tl3HgSe4.

Results
Density of states at the Fermi level (states/eV/f.u.): 2.70
Formation energy without anion corrections (eV per atom): -0.20
Offset from the most stable computed form (meV per atom): 0

a b c (Å): 4.5294 4.5294 14.0728
angles (deg): 90.00 90.00 90.00
Positions (direct):
Tl1 0.5000 0.5000 0.7678
Tl2 0.0000 0.0000 0.5000
Se1 0.5000 0.0000 0.3424
Se2 0.0000 0.5000 0.6576
Hg1 0.0000 0.0000 0.0000
Se3 0.5000 0.0000 0.8913
Se4 0.0000 0.5000 0.1087
Tl3 0.5000 0.5000 0.2322


Density functional theory data (GGA-PBE) for a relaxed structure of Er5Mg24.

Results
Density of states at the Fermi level (states/eV/f.u.): 19.68
DFT formation energy (eV per atom): -0.04

a b c (Å): 9.7257 9.7257 9.7257
angles (deg): 109.47 109.47 109.47
Positions (direct):
Er1 0.0000 0.6250 0.0000
Mg1 0.3705 0.0000 0.1909
Mg2 0.1909 0.0000 0.3705
Mg3 0.3233 0.7121 0.3233
Mg4 0.8091 0.8091 0.1796
Mg5 0.1796 0.8091 0.8091
Mg6 0.7121 0.3233 0.3233
Mg7 0.0000 0.1909 0.3705
Mg8 0.1909 0.3705 0.0000
Er2 0.3750 0.3750 0.3750
Mg9 0.3705 0.1909 0.0000
Mg10 0.3888 0.0000 0.6767
Mg11 0.3233 0.3233 0.7121
Mg12 0.3888 0.6767 0.0000
Mg13 0.8204 0.6295 0.6295
Mg14 0.2879 0.6112 0.6112
Mg15 0.0000 0.6767 0.3888
Mg16 0.6295 0.6295 0.8204
Er3 0.6250 0.0000 0.0000
Mg17 0.6112 0.2879 0.6112
Mg18 0.6295 0.8204 0.6295
Mg19 0.8091 0.1796 0.8091
Er4 0.0000 0.0000 0.0000
Mg20 0.6767 0.0000 0.3888
Er5 0.0000 0.0000 0.6250
Mg21 0.0000 0.3888 0.6767
Mg22 0.6767 0.3888 0.0000
Mg23 0.0000 0.3705 0.1909
Mg24 0.6112 0.6112 0.2879


Density functional theory data (GGA-PBE) for a relaxed structure of Sm3BiP2Rh9.

Results
Density of states at the Fermi level (states/eV/f.u.): 8.23
DFT formation energy (eV per atom): -0.60

a b c (Å): 6.0848 6.0848 9.4670
angles (deg): 90.00 90.00 120.00
Positions (direct):
Rh1 0.6962 0.8481 0.2673
Rh2 0.8481 0.6962 0.7327
Rh3 0.5000 0.0000 0.0000
P1 0.3333 0.6667 0.1563
Sm1 0.6667 0.3333 0.2752
P2 0.6667 0.3333 0.8437
Sm2 0.3333 0.6667 0.7248
Bi1 0.0000 0.0000 0.5000
Rh4 0.0000 0.5000 0.0000
Rh5 0.5000 0.5000 0.0000
Sm3 0.0000 0.0000 0.0000
Rh6 0.1519 0.3038 0.2673
Rh7 0.3038 0.1519 0.7327
Rh8 0.8481 0.1519 0.7327
Rh9 0.1519 0.8481 0.2673